# 1
# Sm2DyTm7

Crystalline Sm2DyTm7 at its relaxed geometry (PBE-GGA, Alexandria via LeMat-Bulk).

Cell lengths 14.6015, 14.6015, 3.4918 Å; angles 90.00, 90.00, 154.68 degrees
Last column: nearest neighbours and their distance in Å.
Sites, in units of the cell vectors:
Sm: 0.2089 0.7911 0.0000  2 Sm 3.49, 8 Tm 3.51-3.71
Sm: 0.7911 0.2089 0.0000  2 Sm 3.49, 8 Tm 3.51-3.71
Dy: 0.5000 0.5000 0.5000  2 Dy 3.49, 12 Tm 3.65
Tm: 0.0000 0.0000 0.0000  6 Tm 3.23-3.49
Tm: 0.1554 0.3516 0.0000  7 Tm 3.15-3.49
Tm: 0.3158 0.6842 0.5000  6 Tm 3.40-3.49, 6 Sm 3.51-3.71
Tm: 0.3516 0.1554 0.0000  7 Tm 3.15-3.49
Tm: 0.6484 0.8446 0.0000  7 Tm 3.15-3.49
Tm: 0.6842 0.3158 0.5000  6 Tm 3.40-3.49, 6 Sm 3.51-3.71
Tm: 0.8446 0.6484 0.0000  7 Tm 3.15-3.49

Output
SG   Cmmm, No. 65
Energy above the lowest structure with this stoichiometry   138 meV/atom

***

# 2
# SmDy6Tm

Crystalline SmDy6Tm at its relaxed geometry (PBE-GGA, Alexandria via LeMat-Bulk).

Cell lengths 5.0167, 5.0167, 10.0219 Å; angles 90.00, 90.00, 90.00 degrees
Last column: nearest neighbours and their distance in Å.
Sites, in units of the cell vectors:
Sm: 0.0000 0.0000 0.0000  12 Dy 3.55-3.56
Dy: 0.0000 0.5000 0.2522  8 Dy 3.53-3.56, 2 Tm 3.53, 2 Sm 3.56
Dy: 0.0000 0.5000 0.7478  8 Dy 3.53-3.56, 2 Tm 3.53, 2 Sm 3.56
Dy: 0.5000 0.0000 0.2522  8 Dy 3.53-3.56, 2 Tm 3.53, 2 Sm 3.56
Dy: 0.5000 0.0000 0.7478  8 Dy 3.53-3.56, 2 Tm 3.53, 2 Sm 3.56
Dy: 0.5000 0.5000 0.0000  4 Sm 3.55, 8 Dy 3.56
Dy: 0.5000 0.5000 0.5000  8 Dy 3.53, 4 Tm 3.55
Tm: 0.0000 0.0000 0.5000  12 Dy 3.53-3.55

Output
SG   P4/mmm, No. 123
Energy above the lowest structure with this stoichiometry   0 meV/atom

***

# 3
# Sm2DyTm5

Crystalline Sm2DyTm5 at its relaxed geometry (PBE-GGA, Alexandria via LeMat-Bulk).

Cell lengths 7.0553, 14.1191, 4.9842 Å; angles 90.00, 90.00, 90.00 degrees
Last column: nearest neighbours and their distance in Å.
Sites, in units of the cell vectors:
Sm: 0.2492 0.1253 0.0000  10 Tm 3.52-3.54, 2 Dy 3.53
Sm: 0.2508 0.6253 0.0000  10 Tm 3.52-3.54, 2 Dy 3.53
Sm: 0.7492 0.3747 0.0000  10 Tm 3.52-3.54, 2 Dy 3.53
Sm: 0.7508 0.8747 0.0000  10 Tm 3.52-3.54, 2 Dy 3.53
Dy: 0.0000 0.5000 0.5000  8 Tm 3.52-3.53, 4 Sm 3.53
Dy: 0.5000 0.0000 0.5000  8 Tm 3.52-3.53, 4 Sm 3.53
Tm: 0.0000 0.0000 0.5000  4 Sm 3.53, 6 Tm 3.53, 2 Dy 3.53
Tm: 0.0007 0.7502 0.5000  4 Sm 3.52-3.53, 7 Tm 3.52-3.53, 1 Dy 3.53
Tm: 0.2493 0.3749 0.0000  4 Sm 3.52-3.54, 6 Tm 3.52-3.53, 2 Dy 3.52
Tm: 0.2507 0.8749 0.0000  4 Sm 3.52-3.54, 6 Tm 3.52-3.53, 2 Dy 3.52
Tm: 0.4993 0.2502 0.5000  4 Sm 3.52-3.53, 7 Tm 3.52-3.53, 1 Dy 3.53
Tm: 0.5000 0.5000 0.5000  4 Sm 3.53, 6 Tm 3.53, 2 Dy 3.53
Tm: 0.5007 0.7498 0.5000  4 Sm 3.52-3.53, 7 Tm 3.52-3.53, 1 Dy 3.53
Tm: 0.7493 0.1251 0.0000  4 Sm 3.52-3.54, 6 Tm 3.52-3.53, 2 Dy 3.52
Tm: 0.7507 0.6251 0.0000  4 Sm 3.52-3.54, 6 Tm 3.52-3.53, 2 Dy 3.52
Tm: 0.9993 0.2498 0.5000  4 Sm 3.52-3.53, 7 Tm 3.52-3.53, 1 Dy 3.53

Output
SG   Pbam, No. 55
Energy above the lowest structure with this stoichiometry   0 meV/atom

***

# 4
# Sm14DyTm

Crystalline Sm14DyTm at its relaxed geometry (PBE-GGA, Alexandria via LeMat-Bulk).

Cell lengths 7.2362, 7.2362, 10.1976 Å; angles 90.00, 90.00, 90.00 degrees
Last column: nearest neighbours and their distance in Å.
Sites, in units of the cell vectors:
Sm: 0.0000 0.0000 0.0000  12 Sm 3.62-3.63
Sm: 0.0000 0.5000 0.0000  12 Sm 3.62
Sm: 0.0000 0.5000 0.5000  8 Sm 3.60, 2 Tm 3.62, 2 Dy 3.62
Sm: 0.2504 0.2504 0.2517  1 Tm 3.60, 10 Sm 3.60-3.63, 1 Dy 3.60
Sm: 0.2504 0.2504 0.7483  1 Tm 3.60, 10 Sm 3.60-3.63, 1 Dy 3.60
Sm: 0.2504 0.7496 0.2517  1 Tm 3.60, 10 Sm 3.60-3.63, 1 Dy 3.60
Sm: 0.2504 0.7496 0.7483  1 Tm 3.60, 10 Sm 3.60-3.63, 1 Dy 3.60
Sm: 0.5000 0.0000 0.0000  12 Sm 3.62
Sm: 0.5000 0.0000 0.5000  8 Sm 3.60, 2 Tm 3.62, 2 Dy 3.62
Sm: 0.5000 0.5000 0.0000  12 Sm 3.62
Sm: 0.7496 0.2504 0.2517  1 Tm 3.60, 10 Sm 3.60-3.63, 1 Dy 3.60
Sm: 0.7496 0.2504 0.7483  1 Tm 3.60, 10 Sm 3.60-3.63, 1 Dy 3.60
Sm: 0.7496 0.7496 0.2517  1 Tm 3.60, 10 Sm 3.60-3.63, 1 Dy 3.60
Sm: 0.7496 0.7496 0.7483  1 Tm 3.60, 10 Sm 3.60-3.63, 1 Dy 3.60
Dy: 0.0000 0.0000 0.5000  12 Sm 3.60-3.62
Tm: 0.5000 0.5000 0.5000  12 Sm 3.60-3.62

Output
SG   P4/mmm, No. 123

***

no.,ΔE_f (eV per atom),total moment (Bohr magnetons per cell),E (hartree per atom)
1,0.162,0.00,-0.16068
2,0.022,0.00,-0.16825
3,0.023,0.00,-0.16636
4,0.016,0.00,-0.17200